1.
Density functional theory data (PBE) for a relaxed LaTi2I2 crystal.

Summary:
ΔE_f (raw) ... 0.207 eV per atom
Space-group type ... P4/mbm
Relative energy among the computed polymorphs ... 0.315 eV per atom
Energy ... -4.556 eV/atom

abc: 8.303 8.303 3.469
angles: 90.00 90.00 90.00
Sites, in units of the cell vectors:
1 La 0.000 0.000 0.000
2 La 0.500 0.500 0.000
3 Ti 0.118 0.382 0.000
4 Ti 0.382 0.882 0.000
5 Ti 0.618 0.118 0.000
6 Ti 0.882 0.618 0.000
7 I 0.169 0.669 0.500
8 I 0.331 0.169 0.500
9 I 0.669 0.831 0.500
10 I 0.831 0.331 0.500

=====

2.
Density functional theory data (PBE) for a relaxed TaTe3O9 crystal.

Summary:
ΔE_f (raw) ... -1.394 eV per atom
Space-group type ... Cc
Energy ... -6.463 eV/atom

abc: 7.854 7.854 9.628
angles: 117.46 117.46 53.56
Sites, in units of the cell vectors:
1 Ta 0.243 0.757 0.500
2 Ta 0.757 0.243 0.000
3 Te 0.256 0.439 0.094
4 Te 0.316 0.844 0.953
5 Te 0.439 0.256 0.594
6 Te 0.719 0.743 0.319
7 Te 0.743 0.719 0.819
8 Te 0.844 0.316 0.453
9 O 0.009 0.692 0.018
10 O 0.056 0.120 0.982
11 O 0.120 0.056 0.482
12 O 0.196 0.826 0.695
13 O 0.365 0.609 0.288
14 O 0.381 0.430 0.475
15 O 0.430 0.381 0.975
16 O 0.443 0.952 0.202
17 O 0.493 0.936 0.948
18 O 0.533 0.742 0.599
19 O 0.609 0.365 0.788
20 O 0.692 0.009 0.518
21 O 0.742 0.533 0.099
22 O 0.753 0.963 0.834
23 O 0.826 0.196 0.195
24 O 0.936 0.493 0.448
25 O 0.952 0.443 0.702
26 O 0.963 0.753 0.334

=====

3.
Density functional theory data (PBE) for a relaxed TcHg2Sb crystal.

Summary:
ΔE_f (raw) ... 0.613 eV per atom
Space-group type ... P4/mmm
Energy ... -3.160 eV/atom

abc: 3.919 3.919 5.523
angles: 90.00 90.00 90.00
Sites, in units of the cell vectors:
1 Tc 0.000 0.000 0.000
2 Hg 0.500 0.500 0.242
3 Hg 0.500 0.500 0.758
4 Sb 0.000 0.000 0.500

=====

4.
Density functional theory data (PBE) for a relaxed MnTc2 crystal.

Summary:
Space-group type ... I4_1/amd
Calculated formation energy ... 0.10 eV/atom
Relative energy among the computed polymorphs ... 0.100 eV per atom
Energy ... -9.867 eV/atom

abc: 11.710 11.710 11.710
angles: 161.35 161.35 26.49
Sites, in units of the cell vectors:
1 Mn 0.291 0.541 0.750
2 Mn 0.459 0.709 0.750
3 Mn 0.541 0.291 0.250
4 Mn 0.709 0.459 0.250
5 Tc 0.040 0.790 0.250
6 Tc 0.126 0.376 0.750
7 Tc 0.210 0.960 0.250
8 Tc 0.376 0.126 0.250
9 Tc 0.624 0.874 0.750
10 Tc 0.790 0.040 0.750
11 Tc 0.874 0.624 0.250
12 Tc 0.960 0.210 0.750

=====

5.
Density functional theory data (PBE) for a relaxed MnNiTe2 crystal.

Summary:
ΔE_f (raw) ... 0.283 eV per atom
Space-group type ... Fm-3m
Energy ... -5.025 eV/atom

abc: 4.777 4.777 4.777
angles: 60.00 60.00 60.00
Sites, in units of the cell vectors:
1 Mn 0.000 0.000 0.000
2 Ni 0.500 0.500 0.500
3 Te 0.250 0.250 0.250
4 Te 0.750 0.750 0.750

=====

6.
Density functional theory data (PBE) for a relaxed BPbSe2 crystal.

Summary:
ΔE_f (raw) ... 0.316 eV per atom
Space-group type ... R-3m
Relative energy among the computed polymorphs ... 0.204 eV per atom
Energy ... -4.023 eV/atom

abc: 8.943 8.943 8.943
angles: 21.58 21.58 21.58
Sites, in units of the cell vectors:
1 B 0.000 0.000 0.000
2 Pb 0.500 0.500 0.500
3 Se 0.382 0.382 0.382
4 Se 0.618 0.618 0.618